Record 1
A plane-wave DFT calculation with PBE was carried out for an optimized crystal structure of NdPuHgPb.

a b c (Å): 3.5812 3.5812 8.7840
angles (deg): 90.00 90.00 90.00
Closest atoms and distances in Å follow each position.
Space group P4mm (No. 99)
One atom of each set of equivalent atoms:
Nd 0.0000 0.0000 0.0000 (multiplicity 1)  4 Hg 3.31, 4 Pb 3.41, 4 Nd 3.58
Pu 0.0000 0.0000 0.5171 (multiplicity 1)  4 Hg 3.30, 4 Pb 3.39, 4 Pu 3.58
Hg 0.5000 0.5000 0.7571 (multiplicity 1)  4 Pu 3.30, 4 Nd 3.31, 4 Hg 3.58
Pb 0.5000 0.5000 0.2607 (multiplicity 1)  4 Pu 3.39, 4 Nd 3.41, 4 Pb 3.58

Energy above the lowest structure with this stoichiometry: 2 meV/atom
Formation energy: -1.196 eV per formula unit
DFT total energy: -24.31 eV/f.u.

=====

Record 2
A plane-wave DFT calculation with PBE was carried out for an optimized crystal structure of NdPuHgPb.

a b c (Å): 7.7241 7.7241 7.7241
angles (deg): 90.00 90.00 90.00
Closest atoms and distances in Å follow each position.
Space group F-43m (No. 216)
One atom of each set of equivalent atoms:
Nd 0.0000 0.0000 0.0000 (multiplicity 4)  4 Hg 3.34, 4 Pb 3.34
Pu 0.0000 0.0000 0.5000 (multiplicity 4)  4 Hg 3.34, 4 Pb 3.34
Hg 0.2500 0.2500 0.7500 (multiplicity 4)  4 Nd 3.34, 4 Pu 3.34
Pb 0.2500 0.2500 0.2500 (multiplicity 4)  4 Pu 3.34, 4 Nd 3.34

Energy above the lowest structure with this stoichiometry: 0 meV/atom
Formation energy: -1.204 eV per formula unit
DFT total energy: -24.31 eV/f.u.

=====

Record 3
A plane-wave DFT calculation with PBE was carried out for an optimized crystal structure of NdHgRhPb.

a b c (Å): 7.2193 7.2193 7.2193
angles (deg): 90.00 90.00 90.00
Closest atoms and distances in Å follow each position.
Space group F-43m (No. 216)
One atom of each set of equivalent atoms:
Nd 0.0000 0.0000 0.0000 (multiplicity 4)  4 Hg 3.13, 4 Rh 3.13
Hg 0.2500 0.2500 0.2500 (multiplicity 4)  4 Pb 3.13, 4 Nd 3.13
Rh 0.2500 0.2500 0.7500 (multiplicity 4)  4 Pb 3.13, 4 Nd 3.13
Pb 0.0000 0.0000 0.5000 (multiplicity 4)  4 Hg 3.13, 4 Rh 3.13

Formation energy: -1.224 eV per formula unit
DFT total energy: -17.35 eV/f.u.

=====

Record 4
A plane-wave DFT calculation with PBE was carried out for an optimized crystal structure of NdSm2Hg2Pb2.

a b c (Å): 5.1122 5.1122 27.4863
angles (deg): 90.00 90.00 120.00
Closest atoms and distances in Å follow each position.
Space group R-3m (No. 166, hexagonal axes)
One atom of each set of equivalent atoms:
Nd 0.0000 0.0000 0.0000 (multiplicity 3)  6 Pb 3.39, 2 Sm 3.60
Sm 0.0000 0.0000 0.1310 (multiplicity 6)  3 Hg 3.06
Hg 0.0000 0.0000 0.4343 (multiplicity 6)  3 Sm 3.06, 3 Pb 3.15
Pb 0.0000 0.0000 0.2724 (multiplicity 6)  3 Hg 3.15, 3 Nd 3.39, 3 Sm 3.52

Formation energy: -1.867 eV per formula unit
DFT total energy: -24.09 eV/f.u.

=====

> Number 2 is which compound?

NdPuHgPb

=====

Please write out number 1 again, unchanged.
A plane-wave DFT calculation with PBE was carried out for an optimized crystal structure of NdPuHgPb.

a b c (Å): 3.5812 3.5812 8.7840
angles (deg): 90.00 90.00 90.00
Closest atoms and distances in Å follow each position.
Space group P4mm (No. 99)
One atom of each set of equivalent atoms:
Nd 0.0000 0.0000 0.0000 (multiplicity 1)  4 Hg 3.31, 4 Pb 3.41, 4 Nd 3.58
Pu 0.0000 0.0000 0.5171 (multiplicity 1)  4 Hg 3.30, 4 Pb 3.39, 4 Pu 3.58
Hg 0.5000 0.5000 0.7571 (multiplicity 1)  4 Pu 3.30, 4 Nd 3.31, 4 Hg 3.58
Pb 0.5000 0.5000 0.2607 (multiplicity 1)  4 Pu 3.39, 4 Nd 3.41, 4 Pb 3.58

Energy above the lowest structure with this stoichiometry: 2 meV/atom
Formation energy: -1.196 eV per formula unit
DFT total energy: -24.31 eV/f.u.